Material: FeAgSe
Method: DFT, PBE
State: optimized geometry

a b c (Å): 6.3463 6.3460 2.9157
angles (deg): 76.72 76.73 26.56
Sites, in units of the cell vectors:
1 Se 0.2865 0.2865 0.7135
2 Fe 0.6890 0.6889 0.3110
3 Ag 0.0246 0.0246 0.9754

Values from the calculation:
total moment	0.00	Bohr magnetons per cell
formation energy from raw total energies	204	meV per atom
ΔE to the lowest computed polymorph	0.087	eV per atom
SG	I4mm, No. 107
mass density	7.9	g/cm3